--- A ---
This record from Alexandria via LeMat-Bulk describes a geometry-optimized TiF structure. The functional is GGA-PBE.

```
data_TiF
_symmetry_space_group_name_H-M 'C 1 2/m 1'
_symmetry_Int_Tables_number 12
_cell_length_a 7.541
_cell_length_b 2.812
_cell_length_c 5.723
_cell_angle_alpha 90.00
_cell_angle_beta 121.78
_cell_angle_gamma 90.00
loop_
_symmetry_equiv_pos_as_xyz
'x,y,z'
'-x,-y,-z'
'-x,y,-z'
'x,-y,z'
'x+1/2,y+1/2,z'
'-x+1/2,-y+1/2,-z'
'-x+1/2,y+1/2,-z'
'x+1/2,-y+1/2,z'
loop_
_atom_site_label
_atom_site_type_symbol
_atom_site_fract_x
_atom_site_fract_y
_atom_site_fract_z
Ti1 Ti 0.180 0.000 0.255
F1 F 0.120 0.000 0.783
```

Output
For the volume, the calculation gives 26 Å³/f.u. The total magnetization comes out at 0.000 μB/atom.

=====

--- B ---
This record from Alexandria via LeMat-Bulk describes a geometry-optimized TiF structure. The functional is GGA-PBE.

```
data_TiF
_symmetry_space_group_name_H-M 'F m -3 m'
_symmetry_Int_Tables_number 225
_symmetry_space_group_name_Hall '-F 4 2 3'
_cell_length_a 4.644
_cell_length_b 4.644
_cell_length_c 4.644
_cell_angle_alpha 90.00
_cell_angle_beta 90.00
_cell_angle_gamma 90.00
loop_
_atom_site_label
_atom_site_type_symbol
_atom_site_fract_x
_atom_site_fract_y
_atom_site_fract_z
Ti1 Ti 0.000 0.000 0.000
F1 F 0.000 0.000 0.500
```

Output
For the volume, the calculation gives 25 Å³/f.u. The total magnetization comes out at 0.270 μB/atom.

=====

--- C ---
This record from Alexandria via LeMat-Bulk describes a geometry-optimized TiF structure. The functional is GGA-PBE.

```
data_TiF
_symmetry_space_group_name_H-M 'F d d d'
_symmetry_Int_Tables_number 70
_cell_length_a 6.690
_cell_length_b 6.933
_cell_length_c 9.050
_cell_angle_alpha 90.00
_cell_angle_beta 90.00
_cell_angle_gamma 90.00
loop_
_symmetry_equiv_pos_as_xyz
'x,y,z'
'-x,-y,-z'
'-x+1/4,-y+1/4,z'
'x+1/4,y+1/4,-z'
'x,-y+1/4,-z+1/4'
'-x,y+1/4,z+1/4'
'-x+1/4,y,-z+1/4'
'x+1/4,-y,z+1/4'
'x,y+1/2,z+1/2'
'-x,-y+1/2,-z+1/2'
'-x+1/4,-y+3/4,z+1/2'
'x+1/4,y+3/4,-z+1/2'
'x,-y+3/4,-z+3/4'
'-x,y+3/4,z+3/4'
'-x+1/4,y+1/2,-z+3/4'
'x+1/4,-y+1/2,z+3/4'
'x+1/2,y,z+1/2'
'-x+1/2,-y,-z+1/2'
'-x+3/4,-y+1/4,z+1/2'
'x+3/4,y+1/4,-z+1/2'
'x+1/2,-y+1/4,-z+3/4'
'-x+1/2,y+1/4,z+3/4'
'-x+3/4,y,-z+3/4'
'x+3/4,-y,z+3/4'
'x+1/2,y+1/2,z'
'-x+1/2,-y+1/2,-z'
'-x+3/4,-y+3/4,z'
'x+3/4,y+3/4,-z'
'x+1/2,-y+3/4,-z+1/4'
'-x+1/2,y+3/4,z+1/4'
'-x+3/4,y+1/2,-z+1/4'
'x+3/4,-y+1/2,z+1/4'
loop_
_atom_site_label
_atom_site_type_symbol
_atom_site_fract_x
_atom_site_fract_y
_atom_site_fract_z
Ti1 Ti 0.125 0.323 0.125
F1 F 0.125 0.125 0.497
```

Output
For the volume, the calculation gives 26 Å³/f.u. The total magnetization comes out at 0.000 μB/atom.

=====

--- D ---
This record from Alexandria via LeMat-Bulk describes a geometry-optimized TiF structure. The functional is GGA-PBE.

```
data_TiF
_symmetry_space_group_name_H-M 'P 21 21 21'
_symmetry_Int_Tables_number 19
_cell_length_a 4.858
_cell_length_b 6.009
_cell_length_c 6.885
_cell_angle_alpha 90.00
_cell_angle_beta 90.00
_cell_angle_gamma 90.00
loop_
_symmetry_equiv_pos_as_xyz
'x,y,z'
'-x+1/2,-y,z+1/2'
'x+1/2,-y+1/2,-z'
'-x,y+1/2,-z+1/2'
loop_
_atom_site_label
_atom_site_type_symbol
_atom_site_fract_x
_atom_site_fract_y
_atom_site_fract_z
Ti1 Ti 0.013 0.036 0.336
Ti2 Ti 0.047 0.656 0.560
F1 F 0.115 0.858 0.059
F2 F 0.132 0.484 0.864
```

Output
For the volume, the calculation gives 25 Å³/f.u. The total magnetization comes out at 0.000 μB/atom.

=====

Most stable one: C, least stable one: B.